(1)
LiPmAgHg: optimized geometry, PBE.

Properties
**Energy relative to the elements**: -0.3170 eV/atom
**VASP energy**: -2.771 eV/atom
**Spin magnetization**: 0.00 μB per atom

Cell lengths 5.063, 5.063, 5.063 Å; angles 60.00, 60.00, 60.00 degrees
Fractional positions:
Li 0.750 0.750 0.750
Hg 0.500 0.500 0.500
Ag 0.000 0.000 0.000
Pm 0.250 0.250 0.250

=====

(2)
Li2PmAgHg4: optimized geometry, PBE.

Properties
**Energy relative to the elements**: -0.2990 eV/atom
**VASP energy**: -1.879 eV/atom
**Spin magnetization**: 0.00 μB per atom

Cell lengths 4.736, 4.736, 9.461 Å; angles 75.51, 75.51, 60.00 degrees
Fractional positions:
Li 0.768 0.768 0.697
Li 0.232 0.232 0.303
Pm 0.000 0.000 0.000
Ag 0.500 0.500 0.500
Hg 0.391 0.391 0.826
Hg 0.878 0.878 0.367
Hg 0.122 0.122 0.633
Hg 0.609 0.609 0.174

=====

(3)
Li2PrAgHg4: optimized geometry, PBE.

Properties
**Energy relative to the elements**: -0.3017 eV/atom
**VASP energy**: -1.885 eV/atom
**Spin magnetization**: 0.00 μB per atom

Cell lengths 4.741, 4.741, 9.592 Å; angles 75.69, 75.69, 60.00 degrees
Fractional positions:
Li 0.769 0.769 0.693
Li 0.231 0.231 0.307
Pr 0.000 0.000 0.000
Ag 0.500 0.500 0.500
Hg 0.393 0.393 0.821
Hg 0.877 0.877 0.368
Hg 0.123 0.123 0.632
Hg 0.607 0.607 0.179

=====

(4)
LiPrAgHg: optimized geometry, PBE.

Properties
**Energy relative to the elements**: -0.3200 eV/atom
**VASP energy**: -2.782 eV/atom
**Spin magnetization**: 0.00 μB per atom

Cell lengths 4.842, 5.482, 5.484 Å; angles 128.03, 116.20, 90.00 degrees
Fractional positions:
Li 0.994 0.006 0.987
Pr 0.501 0.498 0.001
Ag 0.281 0.717 0.563
Hg 0.724 0.278 0.449

=====

(5)
Li2PrAg2Hg2: optimized geometry, PBE.

Properties
**Energy relative to the elements**: -0.2682 eV/atom
**VASP energy**: -2.399 eV/atom
**Spin magnetization**: 0.00 μB per atom

Cell lengths 4.779, 4.779, 8.138 Å; angles 72.93, 72.93, 60.00 degrees
Fractional positions:
Li 0.144 0.144 0.569
Li 0.856 0.856 0.431
Pr 0.000 0.000 0.000
Ag 0.563 0.563 0.310
Ag 0.437 0.437 0.690
Hg 0.739 0.739 0.784
Hg 0.261 0.261 0.216

=====

(6)
Li5Ag2Hg2Pt: optimized geometry, PBE.

Properties
**Energy relative to the elements**: -0.2475 eV/atom
**VASP energy**: -2.439 eV/atom
**Spin magnetization**: 0.00 μB per atom

Cell lengths 2.874, 11.136, 11.136 Å; angles 90.00, 90.00, 90.00 degrees
Fractional positions:
Li 0.500 0.191 0.985
Li 0.500 0.809 0.015
Li 0.500 0.985 0.809
Li 0.500 0.691 0.515
Li 0.500 0.015 0.191
Li 0.500 0.309 0.485
Li 0.500 0.485 0.691
Li 0.500 0.515 0.309
Li 0.500 0.500 0.000
Li 0.500 0.000 0.500
Ag 0.000 0.650 0.150
Ag 0.000 0.350 0.850
Ag 0.000 0.150 0.350
Ag 0.000 0.850 0.650
Hg 0.000 0.163 0.663
Hg 0.000 0.837 0.337
Hg 0.000 0.663 0.837
Hg 0.000 0.337 0.163
Pt 0.000 0.000 0.000
Pt 0.000 0.500 0.500

=====

no.,DOS at the Fermi energy (states/eV/atom)
1,0.952
2,0.562
3,0.612
4,0.772
5,0.498
6,0.342